1.
Rb2LiZnPd after structural relaxation, computed with PBE.

The space group is P4/mmm (No. 123) and the conventional cell measures 6.589, 6.589 and 4.851 Å, with angles of 90.00, 90.00 and 90.00 degrees. The inequivalent atoms are Rb at (0.000, 0.500, 0.000), Li at (0.000, 0.000, 0.500), Zn at (0.500, 0.500, 0.500) and Pd at (0.000, 0.000, 0.000).



2.
TiP2Pt after structural relaxation, computed with PBE.

The relative energy among the computed polymorphs comes out at 0 meV per atom.

The space group is I-42d (No. 122) and the conventional cell measures 5.553, 5.553 and 10.532 Å, with angles of 90.00, 90.00 and 90.00 degrees. The inequivalent atoms are Ti at (0.000, 0.000, 0.000), P at (0.237, 0.250, 0.625) and Pt at (0.000, 0.000, 0.500).



| no. | M_tot (μB per cell) | DFT formation energy (kcal/mol of atoms) | raw total energy (eV/atom) |
| --- | --- | --- | --- |
| 1 | 0.306 | 4.66 | -1.8613 |
| 2 | 0.000 | -8.62 | -6.5626 |